Material: MgMn2Cr
Method: DFT, PBE
State: optimized geometry

```
4
Lattice="4.965 -0.001 -0.005 -2.309 4.330 0.022 0.346 0.719 2.409" Properties=species:S:1:pos:R:3 pbc="T T T"
Cr -0.982 2.524 1.215
Mg 1.328 2.164 0.009
Mn 0.000 0.000 0.000
Mn 2.656 0.359 1.202
```

Energy relative to the elements   0.411 eV/atom
D(E_F)   3.98 states/eV/f.u.
SG   C2/m (12)
Raw total energy   -27.9 eV for the cell shown

=====

Material: Th2InCoCu
Method: DFT, PBE
State: optimized geometry

```
10
Lattice="-1.491 -2.912 2.605 5.707 1.675 5.138 -8.250 3.559 -0.743" Properties=species:S:1:pos:R:3 pbc="T T T"
Th -2.357 1.522 5.386
Th 2.614 -0.751 5.690
Th -1.677 0.800 1.613
Th -6.648 3.073 1.309
In 0.963 2.077 4.550
In -4.997 0.245 2.449
Co -3.093 4.068 4.454
Co -0.941 -1.746 2.545
Cu -3.717 2.708 2.577
Cu -0.317 -0.386 4.422
```

Energy relative to the elements   -0.258 eV/atom
D(E_F)   4.92 states/eV/f.u.
SG   P2_1/m (11)
Raw total energy   -60.1 eV for the cell shown

=====

Material: HoLuSnRh
Method: DFT, PBE
State: optimized geometry

```
4
Lattice="-3.453 2.412 -2.762 -4.759 0.302 1.621 -1.849 4.413 1.573" Properties=species:S:1:pos:R:3 pbc="T T T"
Lu -5.030 3.563 0.216
Rh -7.545 5.345 0.324
Ho 0.000 0.000 0.000
Sn -2.515 1.782 0.108
```

Energy relative to the elements   -0.673 eV/atom
D(E_F)   2.42 states/eV/f.u.
SG   F-43m (216)
Raw total energy   -23.1 eV for the cell shown

=====

Material: InOs2Cl
Method: DFT, PBE
State: optimized geometry

```
4
Lattice="-1.325 1.837 1.861 1.656 -2.225 0.949 8.026 5.916 -0.128" Properties=species:S:1:pos:R:3 pbc="T T T"
Cl 3.614 2.664 -0.058
Os 0.255 0.188 -0.004
Os 2.144 1.265 1.373
In 6.356 4.369 1.306
```

D(E_F)   4.36 states/eV/f.u.
E_form (uncorrected)   0.6988 eV per atom
SG   Cmm2 (35)
ΔE to the lowest computed polymorph   434 meV/atom
Raw total energy   -24.2 eV for the cell shown

=====

Material: CsScRuO6
Method: DFT, PBE
State: optimized geometry

```
9
Lattice="-0.065 4.728 2.694 -4.691 2.670 0.697 -0.994 -3.210 5.611" Properties=species:S:1:pos:R:3 pbc="T T T"
Cs -1.059 1.518 8.304
Sc -3.668 3.327 5.066
Ru -2.082 0.861 3.935
O -2.178 0.139 2.198
O -0.833 -0.212 4.850
O -2.554 1.620 5.593
O -3.371 -0.477 4.249
O -3.054 2.347 3.307
O -0.504 1.748 3.415
```

E_form (uncorrected)   -1.5205 eV per atom
SG   P312 (149)
Raw total energy   -59.9 eV for the cell shown

=====

Material: Tl3In8Sn3
Method: DFT, PBE
State: optimized geometry

```
14
Lattice="4.998 0.000 0.000 2.499 9.174 -0.284 2.499 2.224 8.905" Properties=species:S:1:pos:R:3 pbc="T T T"
Tl 4.998 5.699 4.310
Tl 4.998 2.415 1.826
Tl 4.998 8.983 6.794
In 4.998 1.902 5.616
In 4.998 9.496 3.004
In 4.998 5.922 0.301
In 4.998 5.476 8.319
In 7.497 8.158 4.321
In 2.499 3.240 4.300
In 7.497 6.379 6.673
In 2.499 5.019 1.947
Sn 2.499 0.000 0.000
Sn 2.499 8.004 1.263
Sn 2.499 3.395 7.357
```

Energy relative to the elements   0.039 eV/atom
D(E_F)   6.07 states/eV/f.u.
SG   Immm (71)
ΔE to the lowest computed polymorph   0 meV/atom
Raw total energy   -40.5 eV for the cell shown